1.
This record from Alexandria describes Pr4Er4Mg after structural relaxation. The functional is PBE-GGA.

Geometry as POSCAR:
```
Pr4Er4Mg
1.0
10.2617 -3.3203 1.2009
-4.1476 10.2026 -1.6838
0.7881 -1.1781 6.6679
Er Pr Mg
8 8 2
Cartesian
5.1458 5.3461 3.5701
6.1935 2.3921 1.9913
2.1472 6.2808 -0.3297
4.7548 -0.5765 6.5147
1.7562 0.3580 2.6151
1.4154 0.4430 6.1553
0.7088 3.3123 4.1939
5.4870 5.2616 0.0295
8.3018 -1.8948 6.9118
-1.3997 7.5986 -0.7268
8.6043 -1.9371 3.3815
-1.7026 7.6414 2.8035
7.4776 1.1465 5.1290
1.8183 6.5117 3.2621
5.0843 -0.8075 2.9229
-0.5748 4.5575 1.0558
3.9865 2.2493 4.6560
2.9152 3.4549 1.5292
```

Computed properties:
space group: P-1 (2)
total energy: -38.68 eV/f.u.
ΔE_f: 3.0 kJ per mole of atoms



2.
This record from Alexandria describes PrEr7Mg4 after structural relaxation. The functional is PBE-GGA.

Geometry as POSCAR:
```
PrEr7Mg4
1.0
5.7004 0.0000 0.0000
2.8502 9.4482 -0.0077
2.8502 0.3600 6.7189
Er Mg Pr
7 4 1
Cartesian
5.7004 6.0077 4.9190
8.5506 3.8967 4.8854
5.7004 3.8005 1.7922
2.8502 1.2788 2.9625
2.8502 0.0000 0.0000
2.8502 5.9115 1.8257
8.5506 8.5293 3.7487
8.5506 6.6401 6.4286
5.7004 2.2788 4.3794
2.8502 3.1681 0.2826
5.7004 7.5294 2.3318
0.0000 0.0000 0.0000
```

Computed properties:
space group: C2/m (12)
total energy: -40.28 eV/f.u.
ΔE_f: 22.7 kJ per mole of atoms



3.
This record from Alexandria describes Pr4ErMg5 after structural relaxation. The functional is PBE-GGA.

Geometry as POSCAR:
```
Pr4ErMg5
1.0
-1.6825 -1.9710 -2.8840
3.1140 0.6042 -2.2296
7.9530 -16.4996 6.6368
Pr Er Mg
4 1 5
Cartesian
3.1656 -6.5675 2.6417
4.7874 -9.9321 3.9951
6.4040 -13.2861 5.3442
1.5490 -3.2135 1.2926
0.0000 0.0000 0.0000
6.3094 -12.2882 2.1111
4.6923 -8.9332 0.7616
7.9317 -15.6538 3.4649
1.4529 -2.2127 -1.9417
3.0751 -5.5783 -0.5879
```

Computed properties:
space group: P4/mmm (123)
total energy: -32.68 eV/f.u.
ΔE_f: -9.9 kJ per mole of atoms



4.
This record from Alexandria describes Pr5ErMg3 after structural relaxation. The functional is PBE-GGA.

Geometry as POSCAR:
```
Pr5ErMg3
1.0
7.0828 0.0000 0.0000
0.0000 9.6630 0.0000
0.0000 -4.8315 8.3679
Mg Pr Er
6 10 2
Cartesian
5.3121 1.5925 2.7584
1.7707 3.2390 5.6095
5.3121 6.4777 0.0000
1.7707 3.1853 0.0000
1.7707 -1.5925 2.7584
5.3121 6.4240 5.6095
0.0000 4.8315 2.7893
1.7707 6.4687 0.0000
1.7707 -3.2343 5.6017
5.3121 3.2343 5.6017
5.3121 8.0658 2.7662
3.5414 0.0000 5.5786
3.5414 4.8315 2.7893
0.0000 0.0000 5.5786
1.7707 1.5972 2.7662
5.3121 3.1943 0.0000
0.0000 0.0000 0.0000
3.5414 0.0000 0.0000
```

Computed properties:
space group: P6_3/mcm (193)
total energy: -33.31 eV/f.u.
ΔE_f: -0.7 kJ per mole of atoms



5.
This record from Alexandria describes PrEr6Mg2 after structural relaxation. The functional is PBE-GGA.

Geometry as POSCAR:
```
PrEr6Mg2
1.0
4.8467 0.0000 0.0000
0.0000 4.8467 0.0000
0.0000 0.0000 11.9909
Er Mg Pr
6 2 1
Cartesian
2.4234 2.4234 5.9955
2.4234 0.0000 3.4890
0.0000 2.4234 3.4890
0.0000 2.4234 8.5019
0.0000 0.0000 5.9955
2.4234 0.0000 8.5019
2.4234 2.4234 10.6108
2.4234 2.4234 1.3801
0.0000 0.0000 0.0000
```

Computed properties:
space group: P4/mmm (123)
total energy: -34.13 eV/f.u.
ΔE_f: 13.0 kJ per mole of atoms



6.
This record from Alexandria describes PrErMg4 after structural relaxation. The functional is PBE-GGA.

Geometry as POSCAR:
```
PrErMg4
1.0
-1.9023 2.6849 0.9539
-5.4930 -2.9631 3.5382
5.9335 5.0131 3.8753
Mg Pr Er
4 1 1
Cartesian
-4.0558 -0.3375 5.1666
-2.1739 -0.2953 2.6482
0.7120 5.0302 5.7190
2.5939 5.0724 3.2007
0.0000 0.0000 0.0000
-0.7309 2.3675 4.1836
```

Computed properties:
space group: C2/m (12)
total energy: -15.99 eV/f.u.
ΔE_f: -4.3 kJ per mole of atoms